Entry 1:
Ac2TbPm5Pr | PBE-GGA | relaxed

**Formation energy from the elements**: 1.242 eV/f.u.
**Total moment**: 0.00 μB per formula unit
**E_tot**: -4.460 eV per atom
**Theoretical density**: 7.4 g cm⁻³

a = 5.8689 Å, b = 10.7192 Å, c = 11.0010 Å
α = 90.00°, β = 90.00°, γ = 105.89°
Sites, in units of the cell vectors:
Ac 0.8827 0.7654 0.8194
Ac 0.1139 0.2277 0.7307
Ac 0.1173 0.2346 0.3194
Ac 0.8861 0.7723 0.2307
Tb 0.7936 0.5872 0.5097
Tb 0.2064 0.4128 0.0097
Pm 0.3889 0.7779 0.0207
Pm 0.7177 0.4355 0.8117
Pm 0.4821 0.9642 0.7410
Pm 0.2959 0.5918 0.7048
Pm 0.9811 0.9622 0.5230
Pm 0.6111 0.2221 0.5207
Pm 0.2823 0.5645 0.3117
Pm 0.5179 0.0358 0.2410
Pm 0.7041 0.4082 0.2048
Pm 0.0189 0.0378 0.0230
Pr 0.5883 0.1766 0.9629
Pr 0.4117 0.8234 0.4629

Entry 2:
As3Cl | PBE-GGA | relaxed

**Total moment**: 0.00 μB per formula unit
**Excess energy over the best structure of this formula in the dataset**: 0.165 eV/atom
**E_tot**: -3.777 eV per atom
**Theoretical density**: 5.2 g cm⁻³
**Energy relative to the elements, uncorrected**: 0.7 eV/f.u.

a = 3.4521 Å, b = 3.4521 Å, c = 7.0024 Å
α = 90.00°, β = 90.00°, γ = 90.00°
Sites, in units of the cell vectors:
As 0.0000 0.0000 0.0556
As 0.5000 0.5000 0.2500
As 0.0000 0.0000 0.4444
Cl 0.5000 0.5000 0.7500

Entry 3:
Y2MoI2 | PBE-GGA | relaxed

**Total moment**: 0.82 μB per formula unit
**Excess energy over the best structure of this formula in the dataset**: 0.000 eV/atom
**E_tot**: -5.215 eV per atom
**Theoretical density**: 7.0 g cm⁻³
**Energy relative to the elements, uncorrected**: 0.8 eV/f.u.

a = 7.6689 Å, b = 7.6689 Å, c = 4.2646 Å
α = 90.00°, β = 90.00°, γ = 90.00°
Sites, in units of the cell vectors:
I 0.3467 0.8467 0.0000
I 0.8467 0.6533 0.0000
I 0.6533 0.1533 0.0000
I 0.1533 0.3467 0.0000
Y 0.1600 0.6600 0.5000
Y 0.6600 0.8400 0.5000
Y 0.8400 0.3400 0.5000
Y 0.3400 0.1600 0.5000
Mo 0.0000 0.0000 0.0000
Mo 0.5000 0.5000 0.0000

Entry 4:
Nd3Sm2Dy6Pb | PBE-GGA | relaxed

**Formation energy from the elements**: -0.742 eV/f.u.
**Total moment**: 0.00 μB per formula unit
**E_tot**: -4.650 eV per atom
**Theoretical density**: 8.3 g cm⁻³

a = 6.1713 Å, b = 6.1713 Å, c = 11.7932 Å
α = 95.03°, β = 95.03°, γ = 120.01°
Sites, in units of the cell vectors:
Nd 0.1680 0.8320 0.5000
Nd 0.8320 0.1680 0.5000
Nd 0.5000 0.5000 0.5000
Sm 0.3338 0.6662 0.0000
Sm 0.6662 0.3338 0.0000
Dy 0.9181 0.5916 0.7541
Dy 0.7556 0.7556 0.2471
Dy 0.0819 0.4084 0.2459
Dy 0.5916 0.9181 0.7541
Dy 0.2444 0.2444 0.7529
Dy 0.4084 0.0819 0.2459
Pb 0.0000 0.0000 0.0000

Entry 5:
GaRuOF2 | PBE-GGA | relaxed

**Total moment**: 0.15 μB per formula unit
**Excess energy over the best structure of this formula in the dataset**: 0.000 eV/atom
**E_tot**: -5.293 eV per atom
**Theoretical density**: 5.2 g cm⁻³
**Energy relative to the elements, uncorrected**: -5.5 eV/f.u.

a = 4.4229 Å, b = 4.4229 Å, c = 3.6896 Å
α = 90.00°, β = 90.00°, γ = 90.00°
Sites, in units of the cell vectors:
Ru 0.0000 0.0000 0.0000
O 0.0000 0.0000 0.5000
Ga 0.5000 0.5000 0.5000
F 0.0000 0.5000 0.0000
F 0.5000 0.0000 0.0000

Entry 6:
Ba2NaGa3Ag12 | PBE-GGA | relaxed

**Formation energy from the elements**: 3.386 eV/f.u.
**Total moment**: 0.00 μB per formula unit
**E_tot**: -2.504 eV per atom
**Theoretical density**: 6.3 g cm⁻³

a = 8.5530 Å, b = 8.5530 Å, c = 8.5530 Å
α = 63.51°, β = 63.51°, γ = 63.51°
Sites, in units of the cell vectors:
Ba 0.6105 0.6105 0.6105
Ba 0.3895 0.3895 0.3895
Na 0.0000 0.0000 0.0000
Ga 0.5000 0.0000 0.0000
Ga 0.0000 0.5000 0.0000
Ga 0.0000 0.0000 0.5000
Ag 0.3439 0.3439 0.8804
Ag 0.8707 0.8707 0.3783
Ag 0.3783 0.8707 0.8707
Ag 0.8804 0.3439 0.3439
Ag 0.8707 0.3783 0.8707
Ag 0.3439 0.8804 0.3439
Ag 0.6561 0.6561 0.1196
Ag 0.1293 0.1293 0.6217
Ag 0.6217 0.1293 0.1293
Ag 0.1196 0.6561 0.6561
Ag 0.1293 0.6217 0.1293
Ag 0.6561 0.1196 0.6561